(1)
Below is a relaxed YTaAl2 crystal, with properties calculated at the PBE-GGA level.

The structure in POSCAR format:
```
YTaAl2
1.0
5.729 0.030 0.030
4.885 2.993 0.030
1.985 0.565 4.653
Ta Al Y
1 2 1
Direct
0.515 0.515 0.441
0.981 0.981 0.971
0.259 0.259 0.296
0.746 0.746 0.792
```

Results
* formation energy from the elements: -0.17 eV/f.u.
* size of the total moment: 0.00 μB per formula unit
* E_tot: -6.493 eV/atom
* energy above the most stable polymorph in this dataset: 0.1858 eV per atom
* space group: Cm (8)
* theoretical density: 6.8 g/cm³

(2)
Below is a relaxed YTa2Al crystal, with properties calculated at the PBE-GGA level.

The structure in POSCAR format:
```
YTa2Al
1.0
-0.832 2.844 -0.144
-1.920 -1.272 1.870
5.725 2.041 7.266
Ta Al Y
2 1 1
Direct
0.000 0.000 0.996
0.500 0.500 0.229
0.500 0.500 0.772
0.000 0.000 0.503
```

Results
* formation energy from the elements: 0.41 eV/f.u.
* size of the total moment: 0.00 μB per formula unit
* E_tot: -8.374 eV/atom
* space group: Cmm2 (35)
* theoretical density: 9.9 g/cm³

(3)
Below is a relaxed YTaAl2 crystal, with properties calculated at the PBE-GGA level.

The structure in POSCAR format:
```
YTaAl2
1.0
4.356 0.000 0.000
0.000 4.356 0.000
0.000 0.000 4.139
Y Ta Al
1 1 2
Direct
0.000 0.500 0.500
0.500 0.000 0.500
0.500 0.500 0.000
0.000 0.000 0.000
```

Results
* formation energy from the elements: -0.25 eV/f.u.
* size of the total moment: 0.00 μB per formula unit
* E_tot: -6.513 eV/atom
* energy above the most stable polymorph in this dataset: 0.1653 eV per atom
* space group: P4/mmm (123)
* theoretical density: 6.8 g/cm³

(4)
Below is a relaxed YTaAl2 crystal, with properties calculated at the PBE-GGA level.

The structure in POSCAR format:
```
YTaAl2
1.0
5.183 0.017 -0.002
-1.564 4.941 -0.002
0.001 0.001 3.021
Y Al Ta
1 2 1
Direct
0.000 0.500 0.500
0.000 0.000 0.000
0.500 0.500 0.000
0.500 0.000 0.500
```

Results
* formation energy from the elements: -0.43 eV/f.u.
* size of the total moment: 0.00 μB per formula unit
* E_tot: -6.558 eV/atom
* energy above the most stable polymorph in this dataset: 0.1209 eV per atom
* space group: Cmmm (65)
* theoretical density: 6.9 g/cm³

(5)
Below is a relaxed YTa2Al crystal, with properties calculated at the PBE-GGA level.

The structure in POSCAR format:
```
YTa2Al
1.0
-0.328 0.917 2.774
2.108 -1.859 0.864
6.353 6.547 -1.415
Y Al Ta
1 1 2
Direct
0.500 0.500 0.250
0.500 0.500 0.750
0.000 0.000 0.962
0.000 0.000 0.538
```

Results
* formation energy from the elements: 0.65 eV/f.u.
* size of the total moment: 0.00 μB per formula unit
* E_tot: -8.315 eV/atom
* space group: P4/mmm (123)
* theoretical density: 9.9 g/cm³

(6)
Below is a relaxed YTa2Al crystal, with properties calculated at the PBE-GGA level.

The structure in POSCAR format:
```
YTa2Al
1.0
2.953 0.000 0.000
0.000 2.953 0.000
0.000 0.000 9.223
Ta Y Al
2 1 1
Direct
0.000 0.000 0.987
0.500 0.500 0.230
0.000 0.000 0.510
0.500 0.500 0.772
```

Results
* formation energy from the elements: 0.42 eV/f.u.
* size of the total moment: 0.00 μB per formula unit
* E_tot: -8.373 eV/atom
* space group: P4mm (99)
* theoretical density: 9.9 g/cm³

(7)
Below is a relaxed YTa3Al crystal, with properties calculated at the PBE-GGA level.

The structure in POSCAR format:
```
YTa3Al
1.0
-1.423 -4.679 0.442
3.807 -0.877 2.976
-2.757 1.205 3.882
Al Ta Y
1 3 1
Direct
0.500 0.500 0.500
0.000 0.500 0.000
0.500 0.000 0.000
0.000 0.000 0.500
0.000 0.000 0.000
```

Results
* formation energy from the elements: 11.57 eV/f.u.
* size of the total moment: 0.00 μB per formula unit
* E_tot: -6.838 eV/atom
* energy above the most stable polymorph in this dataset: 1.2997 eV per atom
* space group: Pm-3m (221)
* theoretical density: 9.2 g/cm³

(8)
Below is a relaxed YTaAl2 crystal, with properties calculated at the PBE-GGA level.

The structure in POSCAR format:
```
YTaAl2
1.0
4.299 0.000 0.000
0.000 3.342 0.004
0.000 1.665 5.545
Ta Al Y
1 2 1
Direct
0.000 0.470 0.435
0.000 0.188 0.999
0.500 0.051 0.273
0.500 0.791 0.793
```

Results
* formation energy from the elements: -0.57 eV/f.u.
* size of the total moment: 0.00 μB per formula unit
* E_tot: -6.594 eV/atom
* energy above the most stable polymorph in this dataset: 0.0845 eV per atom
* space group: Amm2 (38)
* theoretical density: 6.8 g/cm³

(9)
Below is a relaxed YTaAl4 crystal, with properties calculated at the PBE-GGA level.

The structure in POSCAR format:
```
YTaAl4
1.0
0.000 3.771 3.771
3.771 0.000 3.771
3.771 3.771 0.000
Al Y Ta
4 1 1
Direct
0.873 0.376 0.376
0.376 0.873 0.376
0.376 0.376 0.376
0.376 0.376 0.873
0.000 0.000 0.000
0.750 0.750 0.750
```

Results
* formation energy from the elements: -1.86 eV/f.u.
* size of the total moment: 0.00 μB per formula unit
* E_tot: -5.859 eV/atom
* space group: F-43m (216)
* theoretical density: 5.9 g/cm³

(10)
Below is a relaxed YTa3Al crystal, with properties calculated at the PBE-GGA level.

The structure in POSCAR format:
```
YTa3Al
1.0
4.845 0.000 0.000
0.000 4.845 0.000
0.000 0.000 4.845
Al Ta Y
1 3 1
Direct
0.000 0.000 0.000
0.500 0.000 0.000
0.000 0.000 0.500
0.000 0.500 0.000
0.500 0.500 0.500
```

Results
* formation energy from the elements: 5.08 eV/f.u.
* size of the total moment: 0.00 μB per formula unit
* E_tot: -8.138 eV/atom
* energy above the most stable polymorph in this dataset: 0.0000 eV per atom
* space group: Pm-3m (221)
* theoretical density: 9.6 g/cm³

(11)
Below is a relaxed YTaAl2 crystal, with properties calculated at the PBE-GGA level.

The structure in POSCAR format:
```
YTaAl2
1.0
3.160 0.000 0.000
0.000 3.160 0.000
0.000 0.000 7.935
Al Ta Y
2 1 1
Direct
0.000 0.000 0.040
0.500 0.500 0.242
0.000 0.000 0.456
0.500 0.500 0.761
```

Results
* formation energy from the elements: -0.02 eV/f.u.
* size of the total moment: 0.00 μB per formula unit
* E_tot: -6.456 eV/atom
* energy above the most stable polymorph in this dataset: 0.2223 eV per atom
* space group: P4mm (99)
* theoretical density: 6.8 g/cm³

(12)
Below is a relaxed YTaAl3 crystal, with properties calculated at the PBE-GGA level.

The structure in POSCAR format:
```
YTaAl3
1.0
-2.099 4.589 -0.225
-4.229 -1.833 2.067
1.796 1.047 4.604
Al Y Ta
3 1 1
Direct
0.000 0.000 0.500
0.000 0.500 0.000
0.500 0.000 0.000
0.000 0.000 0.000
0.500 0.500 0.500
```

Results
* formation energy from the elements: 9.03 eV/f.u.
* size of the total moment: 0.30 μB per formula unit
* E_tot: -4.103 eV/atom
* energy above the most stable polymorph in this dataset: 1.5111 eV per atom
* space group: Pm-3m (221)
* theoretical density: 4.5 g/cm³

The highest size of the total moment belongs to which entry?
YTaAl3

What is the E_tot in the twelfth record?
-4.103 eV/atom